The following is a DFT calculation (GGA-PBEsol) of an optimized crystal structure of La2Cd.

Density of states at the Fermi level   3.10 states/eV/f.u.
Space-group type   C2/m (12)
Formation enthalpy at 0 K   -0.174 eV/atom

a = 3.7888 Å, b = 6.3859 Å, c = 8.2166 Å
α = 109.09°, β = 90.00°, γ = 107.26°
Atoms (fractional coordinates):
La1 0.3376 0.6753 0.8950
La2 0.9873 0.9746 0.2769
La3 0.0127 0.0254 0.7231
La4 0.6624 0.3247 0.1050
Cd1 0.6849 0.3697 0.5677
Cd2 0.3151 0.6303 0.4323